Arrangement A

## YSb2ICl (PBE)

Data for a relaxed YSb2ICl crystal.

## Properties
Fermi-level density of states	2.39	states/eV per cell

abc: 5.1059 5.1059 6.2704
angles: 90.00 90.00 90.00
Closest atoms and distances in Å follow each position.
Space group P4/mmm (No. 123)
Inequivalent atoms, fractional coordinates:
Y 0.0000 0.0000 0.0000 x1  4 I 3.61, 8 Sb 4.04
Sb 0.0000 0.5000 0.5000 x2  2 Cl 2.55
I 0.5000 0.5000 0.0000 x1  2 Cl 3.14
Cl 0.5000 0.5000 0.5000 x1  4 Sb 2.55


Arrangement B

## YSb2ICl (PBE)

Data for a relaxed YSb2ICl crystal.

## Properties
Fermi-level density of states	4.50	states/eV per cell

abc: 5.9036 5.9036 5.8109
angles: 90.00 90.00 90.00
Closest atoms and distances in Å follow each position.
Space group P4/mmm (No. 123)
Inequivalent atoms, fractional coordinates:
Y 0.0000 0.0000 0.0000 x1  2 I 2.91, 4 Sb 2.95
Sb 0.0000 0.5000 0.0000 x2  2 Y 2.95
I 0.0000 0.0000 0.5000 x1  2 Y 2.91
Cl 0.5000 0.5000 0.5000 x1  8 Sb 4.14, 4 I 4.17


Result of the stability comparison: arrangement A is the least stable of them.


Arrangement A

## ZrSbI2Cl (PBE)

Data for a relaxed ZrSbI2Cl crystal.

## Properties
Fermi-level density of states	3.71	states/eV per cell

abc: 5.5902 5.5902 5.7794
angles: 90.00 90.00 90.00
Closest atoms and distances in Å follow each position.
Space group P4/mmm (No. 123)
Inequivalent atoms, fractional coordinates:
Zr 0.0000 0.0000 0.0000 x1  4 I 2.80, 2 Sb 2.89
Sb 0.0000 0.0000 0.5000 x1  2 Zr 2.89
I 0.0000 0.5000 0.0000 x2  2 Zr 2.80
Cl 0.5000 0.5000 0.5000 x1  4 Sb 3.95, 8 I 4.02


Arrangement B

## ZrSbI2Cl (PBE)

Data for a relaxed ZrSbI2Cl crystal.

## Properties
Fermi-level density of states	8.85	states/eV per cell

abc: 5.7687 5.7687 5.0848
angles: 90.00 90.00 90.00
Closest atoms and distances in Å follow each position.
Space group P4/mmm (No. 123)
Inequivalent atoms, fractional coordinates:
Zr 0.0000 0.0000 0.0000 x1  8 I 3.84, 4 Sb 4.08
Sb 0.5000 0.5000 0.0000 x1  2 Cl 2.54
I 0.0000 0.5000 0.5000 x2  2 Cl 2.88
Cl 0.5000 0.5000 0.5000 x1  2 Sb 2.54


Result of the stability comparison: arrangement B is the least stable of them.


Arrangement A

## ScICl (PBE)

Data for a relaxed ScICl crystal.

## Properties
Fermi-level density of states	0.45	states/eV per cell

abc: 3.8469 6.4894 8.1419
angles: 105.42 102.90 90.00
Closest atoms and distances in Å follow each position.
Space group P-1 (No. 2)
Inequivalent atoms, fractional coordinates:
Sc 0.2488 0.2798 0.4974 x2  3 Cl 2.64-2.71, 3 I 2.92-2.95
I 0.3798 0.6823 0.7750 x2  3 Sc 2.92-2.95
Cl 0.1704 0.8558 0.3315 x2  3 Sc 2.64-2.71


Arrangement B

## ScICl (PBE)

Data for a relaxed ScICl crystal.

## Properties
Fermi-level density of states	4.11	states/eV per cell

abc: 3.8347 3.8374 14.7070
angles: 97.40 90.04 119.98
Closest atoms and distances in Å follow each position.
Space group P-1 (No. 2)
Inequivalent atoms, fractional coordinates:
Sc 0.2453 0.4915 0.2277 x2  3 Cl 2.64-2.65, 3 I 2.91
I 0.3783 0.7564 0.6424 x2  3 Sc 2.91
Cl 0.1213 0.2410 0.8717 x2  3 Sc 2.64-2.65


Arrangement C

## ScICl (PBE)

Data for a relaxed ScICl crystal.

## Properties
Fermi-level density of states	4.09	states/eV per cell

abc: 3.8426 6.4650 7.5684
angles: 99.21 90.37 90.01
Closest atoms and distances in Å follow each position.
Space group P-1 (No. 2)
Inequivalent atoms, fractional coordinates:
Sc 0.0000 0.0000 0.0000 x1  4 Cl 2.61
Sc 0.5000 0.5000 0.0000 x1  2 Cl 2.59
I 0.0033 0.7130 0.2634 x2  3 Sc 2.93-2.95
Cl 0.4976 0.8004 0.8110 x2  3 Sc 2.59-2.61


Result of the stability comparison: arrangement B is the least stable of them.


Arrangement A

## ScTe2ICl (PBE)

Data for a relaxed ScTe2ICl crystal.

## Properties
Fermi-level density of states	6.97	states/eV per cell

abc: 5.5799 5.5799 5.5629
angles: 90.00 90.00 90.00
Closest atoms and distances in Å follow each position.
Space group P4/mmm (No. 123)
Inequivalent atoms, fractional coordinates:
Sc 0.0000 0.0000 0.0000 x1  2 I 2.78, 4 Te 2.79
Te 0.0000 0.5000 0.0000 x2  2 Sc 2.79
I 0.0000 0.0000 0.5000 x1  2 Sc 2.78
Cl 0.5000 0.5000 0.5000 x1  8 Te 3.94, 4 I 3.95


Arrangement B

## ScTe2ICl (PBE)

Data for a relaxed ScTe2ICl crystal.

## Properties
Fermi-level density of states	4.27	states/eV per cell

abc: 5.5295 5.5295 5.3119
angles: 90.00 90.00 90.00
Closest atoms and distances in Å follow each position.
Space group P4/mmm (No. 123)
Inequivalent atoms, fractional coordinates:
Sc 0.0000 0.0000 0.0000 x1  8 Te 3.83, 4 I 3.91
Te 0.0000 0.5000 0.5000 x2  2 Cl 2.76
I 0.5000 0.5000 0.0000 x1  2 Cl 2.66
Cl 0.5000 0.5000 0.5000 x1  2 I 2.66, 4 Te 2.76


Result of the stability comparison: arrangement B is the least stable of them.


Arrangement A

## SeICl2 (PBE)

Data for a relaxed SeICl2 crystal.

## Properties
Fermi-level density of states	8.76	states/eV per cell

abc: 3.5769 3.5769 30.9033
angles: 90.00 90.00 120.00
Closest atoms and distances in Å follow each position.
Space group R-3m (No. 166, hexagonal axes)
Inequivalent atoms, fractional coordinates:
Se 0.0000 0.0000 0.0000 x3  6 Cl 3.36, 6 Se 3.58
I 0.0000 0.0000 0.5000 x3  2 Cl 2.50
Cl 0.0000 0.0000 0.4192 x6  1 I 2.50


Arrangement B

## SeICl2 (PBE)

Data for a relaxed SeICl2 crystal.

## Properties
Fermi-level density of states	267.78	states/eV per cell

abc: 7.9713 7.9713 11.3080
angles: 90.00 90.00 90.00
Closest atoms and distances in Å follow each position.
Space group I4_1/amd (No. 141, origin choice 2)
Inequivalent atoms, fractional coordinates:
Se 0.0000 0.2500 0.3750 x4  4 Cl 2.44
I 0.0000 0.2500 0.8750 x4  12 Cl 4.67-4.69, 4 I 4.89, 4 Se 4.89
Cl 0.0000 0.0000 0.5000 x8  2 Se 2.44


Arrangement C

## SeICl2 (PBE)

Data for a relaxed SeICl2 crystal.

## Properties
Fermi-level density of states	6.74	states/eV per cell

abc: 4.3403 7.4386 19.4124
angles: 90.00 95.84 90.00
Closest atoms and distances in Å follow each position.
Space group P2_1/c (No. 14)
Inequivalent atoms, fractional coordinates:
Se 0.2277 0.0184 0.1014 x4  2 Cl 2.34-2.44, 1 I 2.55
I 0.2849 0.6167 0.7228 x4  1 Se 2.55
Cl 0.1631 0.1777 0.9445 x4  1 Se 2.34
Cl 0.3729 0.7471 0.3725 x4  1 Se 2.44


Arrangement D

## SeICl2 (PBE)

Data for a relaxed SeICl2 crystal.

## Properties
Fermi-level density of states	10.09	states/eV per cell

abc: 7.4003 7.4003 7.4003
angles: 90.00 90.00 90.00
Closest atoms and distances in Å follow each position.
Space group Fm-3m (No. 225)
Inequivalent atoms, fractional coordinates:
Se 0.0000 0.0000 0.0000 x4  8 Cl 3.20
I 0.0000 0.0000 0.5000 x4  8 Cl 3.20
Cl 0.2500 0.2500 0.2500 x8  4 Se 3.20, 4 I 3.20


Result of the stability comparison: arrangement D is the least stable of them.


Arrangement A

## Si2ICl (PBE)

Data for a relaxed Si2ICl crystal.

## Properties
Fermi-level density of states	13.08	states/eV per cell

abc: 7.0891 7.0891 7.0891
angles: 90.00 90.00 90.00
Closest atoms and distances in Å follow each position.
Space group Fm-3m (No. 225)
Inequivalent atoms, fractional coordinates:
Si 0.2500 0.2500 0.2500 x8  4 Cl 3.07, 4 I 3.07
I 0.0000 0.0000 0.0000 x4  8 Si 3.07
Cl 0.0000 0.0000 0.5000 x4  8 Si 3.07


Arrangement B

## Si2ICl (PBE)

Data for a relaxed Si2ICl crystal.

## Properties
Fermi-level density of states	3.56	states/eV per cell

abc: 7.8034 7.8034 6.5680
angles: 90.00 90.00 90.00
Closest atoms and distances in Å follow each position.
Space group I-42d (No. 122)
Inequivalent atoms, fractional coordinates:
Si 0.2355 0.2500 0.1250 x8  2 Cl 2.80, 2 I 2.96
I 0.0000 0.0000 0.5000 x4  4 Si 2.96, 2 Cl 3.28
Cl 0.0000 0.0000 0.0000 x4  4 Si 2.80


Result of the stability comparison: arrangement A is the least stable of them.


Arrangement A

## SiI2Cl (PBE)

Data for a relaxed SiI2Cl crystal.

## Properties
Fermi-level density of states	21.68	states/eV per cell

abc: 8.0437 8.0437 8.4433
angles: 90.00 90.00 90.00
Closest atoms and distances in Å follow each position.
Space group I-42d (No. 122)
Inequivalent atoms, fractional coordinates:
Si 0.0000 0.0000 0.0000 x4  4 I 2.72
I 0.1868 0.2500 0.1250 x8  2 Si 2.72
Cl 0.0000 0.0000 0.5000 x4  4 I 3.39


Arrangement B

## SiI2Cl (PBE)

Data for a relaxed SiI2Cl crystal.

## Properties
Fermi-level density of states	23.74	states/eV per cell

abc: 7.5093 7.5093 7.5093
angles: 90.00 90.00 90.00
Closest atoms and distances in Å follow each position.
Space group Fm-3m (No. 225)
Inequivalent atoms, fractional coordinates:
Si 0.0000 0.0000 0.0000 x4  8 I 3.25
I 0.2500 0.2500 0.2500 x8  4 Cl 3.25, 4 Si 3.25
Cl 0.0000 0.0000 0.5000 x4  8 I 3.25


Result of the stability comparison: arrangement B is the least stable of them.


Arrangement A

## SiICl3 (PBE)

Data for a relaxed SiICl3 crystal.

## Properties
Fermi-level density of states	0.00	states/eV per cell

abc: 6.7236 9.9944 7.4299
angles: 90.00 116.04 90.00
Closest atoms and distances in Å follow each position.
Space group P2_1/m (No. 11)
Inequivalent atoms, fractional coordinates:
Si 0.1252 0.2500 0.4044 x2  3 Cl 2.04
I 0.3623 0.2500 0.7630 x2  1 Si 2.43
Cl 0.1835 0.0840 0.2747 x4  1 Si 2.04
Cl 0.2001 0.7500 0.6487 x2  1 Si 2.04


Arrangement B

## SiICl3 (PBE)

Data for a relaxed SiICl3 crystal.

## Properties
Fermi-level density of states	6.30	states/eV per cell

abc: 4.9991 4.9991 4.9991
angles: 90.00 90.00 90.00
Closest atoms and distances in Å follow each position.
Space group Pm-3m (No. 221)
Inequivalent atoms, fractional coordinates:
Si 0.0000 0.0000 0.0000 x1  6 Cl 2.50
I 0.5000 0.5000 0.5000 x1  12 Cl 3.53
Cl 0.0000 0.0000 0.5000 x3  2 Si 2.50


Result of the stability comparison: arrangement B is the least stable of them.